# Pa2PdPt9 GGA-PBE relaxed
# **Final energy**: -7.275 eV per atom
# **Spin magnetization**: 0.0 μB per formula unit
# **Energy of formation**: -729 meV per atom
# **Symmetry**: P4/mmm, No. 123
data_Pa2PdPt9
_cell_length_a 4.149
_cell_length_b 4.149
_cell_length_c 12.099
_cell_angle_alpha 90.00
_cell_angle_beta 90.00
_cell_angle_gamma 90.00
_symmetry_space_group_name_H-M 'P 1'
_symmetry_Int_Tables_number 1
_symmetry_space_group_name_Hall 'P 1'
loop_
_atom_site_label
_atom_site_type_symbol
_atom_site_fract_x
_atom_site_fract_y
_atom_site_fract_z
Pt1 Pt 0.000 0.500 0.500
Pt2 Pt 0.000 0.500 0.163
Pt3 Pt 0.500 0.500 0.332
Pt4 Pt 0.000 0.500 0.837
Pt5 Pt 0.500 0.000 0.500
Pt6 Pt 0.500 0.500 0.668
Pt7 Pt 0.500 0.000 0.837
Pt8 Pt 0.500 0.000 0.163
Pt9 Pt 0.500 0.500 0.000
Pd1 Pd 0.000 0.000 0.000
Pa1 Pa 0.000 0.000 0.321
Pa2 Pa 0.000 0.000 0.679